[1]
# CeNpAlO6

A geometry-optimized CeNpAlO6 structure (PBE, Alexandria).

Lattice parameters (Å, degrees): 5.2917 5.2917 10.0181 90.00 90.00 120.00
Last column: nearest neighbours and their distance in Å.
Fractional coordinates of all 18 atoms:
O1 0.0231 0.3674 0.8588  1 Al 1.95, 1 Np 2.11
O2 0.3674 0.3442 0.1412  1 Al 1.95, 1 Np 2.11
O3 0.6558 0.0231 0.1412  1 Al 1.95, 1 Np 2.11
O4 0.3442 0.3674 0.6412  1 Al 1.95, 1 Np 2.11
O5 0.6558 0.6326 0.3588  1 Al 1.95, 1 Np 2.11
O6 0.3674 0.0231 0.3588  1 Al 1.95, 1 Np 2.11
O7 0.0231 0.6558 0.6412  1 Al 1.95, 1 Np 2.11
O8 0.9769 0.6326 0.1412  1 Al 1.95, 1 Np 2.11
O9 0.3442 0.9769 0.8588  1 Al 1.95, 1 Np 2.11
O10 0.6326 0.9769 0.6412  1 Al 1.95, 1 Np 2.11
O11 0.9769 0.3442 0.3588  1 Al 1.95, 1 Np 2.11
O12 0.6326 0.6558 0.8588  1 Al 1.95, 1 Np 2.11
Np1 0.6667 0.3333 0.7500  6 O 2.11
Np2 0.3333 0.6667 0.2500  6 O 2.11
Ce1 0.0000 0.0000 0.5000  6 O 2.36
Ce2 0.0000 0.0000 0.0000  6 O 2.36
Al1 0.6667 0.3333 0.2500  6 O 1.95
Al2 0.3333 0.6667 0.7500  6 O 1.95

Computed properties:
mass density = 6.84 g/cm³
total DFT energy (no corrections) = -8.833 eV/atom
formation energy from raw total energies = -27.128 eV per formula unit


[2]
# CeNpPaAl

A geometry-optimized CeNpPaAl structure (PBE, Alexandria).

Lattice parameters (Å, degrees): 5.0799 5.0799 5.0799 60.00 60.00 60.00
Last column: nearest neighbours and their distance in Å.
Fractional coordinates of all 4 atoms:
Al1 0.2500 0.2500 0.2500  4 Ce 3.11, 4 Np 3.11
Pa1 0.7500 0.7500 0.7500  4 Np 3.11, 4 Ce 3.11
Ce1 0.0000 0.0000 0.0000  4 Pa 3.11, 4 Al 3.11
Np1 0.5000 0.5000 0.5000  4 Al 3.11, 4 Pa 3.11

Computed properties:
mass density = 11.38 g/cm³
total DFT energy (no corrections) = -7.822 eV/atom
formation energy from the elements = 0.2061 eV/atom